## Y5NiHg2 (PBE-GGA)

Data for an optimized crystal structure of Y5NiHg2.

**Energy of formation from the pure elements**: -2.8 eV per formula unit
**Space group**: No. 55

abc: 7.2224 11.8813 4.9183
angles: 90.00 90.00 90.00
Fractional coordinates of all 16 atoms:
Y  0.0000  0.0000  0.0000
Y  0.1366  0.2949  0.0000
Y  0.1740  0.5872  0.5000
Y  0.3260  0.0872  0.5000
Y  0.3634  0.7949  0.0000
Y  0.5000  0.5000  0.0000
Y  0.6366  0.2051  0.0000
Y  0.6740  0.9128  0.5000
Y  0.8260  0.4128  0.5000
Y  0.8634  0.7051  0.0000
Ni  0.0000  0.5000  0.0000
Ni  0.5000  0.0000  0.0000
Hg  0.0888  0.8438  0.5000
Hg  0.4112  0.3438  0.5000
Hg  0.5888  0.6562  0.5000
Hg  0.9112  0.1562  0.5000